The following is a PBE-GGA calculation of a relaxed Na2LaGaP crystal, from Alexandria via LeMat-Bulk.

The structure in extended XYZ format:
```
5
Lattice="5.0435 0.0000 0.0000 0.0000 5.0435 0.0000 0.0000 0.0000 5.8914" Properties=species:S:1:pos:R:3 pbc="T T T"
Na 0.0000 2.5217 0.0000
Na 2.5217 0.0000 0.0000
La 0.0000 0.0000 2.9457
Ga 0.0000 0.0000 0.0000
P 2.5217 2.5217 2.9457
```

## Properties
Total magnetization, μB per cell: 0.00
Formation energy, eV per atom: 0.21
Space group: P4/mmm, No. 123
Energy, eV per atom: -2.994


The following is a PBE-GGA calculation of a relaxed NaLaGaPb crystal, from Alexandria via LeMat-Bulk.

The structure in extended XYZ format:
```
4
Lattice="0.0000 3.8165 3.8165 3.8165 0.0000 3.8165 3.8165 3.8165 0.0000" Properties=species:S:1:pos:R:3 pbc="T T T"
Na 0.0000 0.0000 0.0000
La 3.8165 3.8165 3.8165
Ga 5.7248 5.7248 5.7248
Pb 1.9083 1.9083 1.9083
```

## Properties
Total magnetization, μB per cell: 0.00
Formation energy, eV per atom: -0.31
Space group: F-43m, No. 216
Energy, eV per atom: -3.560


The following is a PBE-GGA calculation of a relaxed NaLaPmGa crystal, from Alexandria via LeMat-Bulk.

The structure in extended XYZ format:
```
4
Lattice="0.0000 3.8327 3.8327 3.8327 0.0000 3.8327 3.8327 3.8327 0.0000" Properties=species:S:1:pos:R:3 pbc="T T T"
Na 0.0000 0.0000 0.0000
La 5.7491 5.7491 5.7491
Pm 1.9164 1.9164 1.9164
Ga 3.8327 3.8327 3.8327
```

## Properties
Total magnetization, μB per cell: 0.00
Formation energy, eV per atom: -0.15
Space group: F-43m, No. 216
Energy, eV per atom: -3.660


The following is a PBE-GGA calculation of a relaxed NaLaPrGa crystal, from Alexandria via LeMat-Bulk.

The structure in extended XYZ format:
```
4
Lattice="0.0000 3.8572 3.8572 3.8572 0.0000 3.8572 3.8572 3.8572 0.0000" Properties=species:S:1:pos:R:3 pbc="T T T"
Na 0.0000 0.0000 0.0000
La 1.9286 1.9286 1.9286
Pr 5.7858 5.7858 5.7858
Ga 3.8572 3.8572 3.8572
```

## Properties
Total magnetization, μB per cell: 0.00
Formation energy, eV per atom: -0.16
Space group: F-43m, No. 216
Energy, eV per atom: -3.673


The following is a PBE-GGA calculation of a relaxed NaLa2Ga3Pt4 crystal, from Alexandria via LeMat-Bulk.

The structure in extended XYZ format:
```
10
Lattice="4.1685 0.0000 0.0000 0.0000 4.1685 0.0000 0.0000 0.0000 11.7411" Properties=species:S:1:pos:R:3 pbc="T T T"
Na 0.0000 0.0000 0.0000
La 0.0000 2.0842 8.7338
La 2.0842 0.0000 3.0073
Ga 0.0000 2.0842 4.4051
Ga 2.0842 0.0000 7.3361
Ga 2.0842 2.0842 0.0000
Pt 0.0000 0.0000 5.8706
Pt 0.0000 2.0842 1.8673
Pt 2.0842 0.0000 9.8739
Pt 2.0842 2.0842 5.8706
```

## Properties
Total magnetization, μB per cell: 0.00
Formation energy, eV per atom: -0.86
Space group: P-4m2, No. 115
Energy, eV per atom: -5.304


The following is a PBE-GGA calculation of a relaxed RbNaLa2Ga crystal, from Alexandria via LeMat-Bulk.

The structure in extended XYZ format:
```
5
Lattice="5.8868 0.0000 0.0000 0.0000 5.8868 0.0000 0.0000 0.0000 6.9643" Properties=species:S:1:pos:R:3 pbc="T T T"
Rb 0.0000 0.0000 0.0000
Na 2.9434 2.9434 0.0000
La 0.0000 2.9434 3.4821
La 2.9434 0.0000 3.4821
Ga 0.0000 0.0000 3.4821
```

## Properties
Total magnetization, μB per cell: 0.61
Formation energy, eV per atom: 0.23
Space group: P4/mmm, No. 123
Energy, eV per atom: -2.800
Distance to the lowest polymorph of the same formula, kJ per mole of atoms: 0.0


The following is a PBE-GGA calculation of a relaxed RbNaLa2Ga crystal, from Alexandria via LeMat-Bulk.

The structure in extended XYZ format:
```
5
Lattice="5.9175 0.0000 0.0000 0.0000 5.9175 0.0000 0.0000 0.0000 5.7263" Properties=species:S:1:pos:R:3 pbc="T T T"
Rb 0.0000 0.0000 0.0000
Na 2.9588 2.9588 2.8632
La 0.0000 2.9588 0.0000
La 2.9588 0.0000 0.0000
Ga 0.0000 0.0000 2.8632
```

## Properties
Total magnetization, μB per cell: 0.00
Formation energy, eV per atom: 1.03
Space group: P4/mmm, No. 123
Energy, eV per atom: -2.002
Distance to the lowest polymorph of the same formula, kJ per mole of atoms: 77.0


The following is a PBE-GGA calculation of a relaxed NaLaGa2Rh crystal, from Alexandria via LeMat-Bulk.

The structure in extended XYZ format:
```
5
Lattice="5.5340 0.0000 0.0000 0.0000 5.5340 0.0000 0.0000 0.0000 5.8116" Properties=species:S:1:pos:R:3 pbc="T T T"
Na 0.0000 0.0000 0.0000
La 0.0000 0.0000 2.9058
Ga 0.0000 2.7670 2.9058
Ga 2.7670 0.0000 2.9058
Rh 2.7670 2.7670 0.0000
```

## Properties
Total magnetization, μB per cell: 0.93
Formation energy, eV per atom: 1.41
Space group: P4/mmm, No. 123
Energy, eV per atom: -2.521